InTcRu2C | PBE | optimized geometry

Cell: 4.1170 4.1170 4.1272 Å, 90.00 90.00 90.00°
Fractional positions:
Ru  0.0000  0.5000  0.0000
Ru  0.5000  0.0000  0.0000
C  0.0000  0.0000  0.0000
Tc  0.0000  0.0000  0.5000
In  0.5000  0.5000  0.5000

- E: -40.20 eV per formula unit
- Symmetry: P4/mmm, No. 123
- D(E_F): 5.7 states/eV per cell
- Spin magnetization: 0.7 μB/f.u.